Here is an optimized crystal structure of KBeNb from the Open Quantum Materials Database. Energies are from GGA-PBE.

```
data_KBeNb
_symmetry_space_group_name_H-M 'P 1'
_symmetry_Int_Tables_number 1
_cell_length_a 5.0401
_cell_length_b 5.0401
_cell_length_c 5.0401
_cell_angle_alpha 60.00
_cell_angle_beta 60.00
_cell_angle_gamma 60.00
loop_
_symmetry_equiv_pos_as_xyz
'x,y,z'
loop_
_atom_site_label
_atom_site_type_symbol
_atom_site_fract_x
_atom_site_fract_y
_atom_site_fract_z
K1 K 0.0000 0.0000 0.0000
Be1 Be 0.7500 0.7500 0.7500
Nb1 Nb 0.2500 0.2500 0.2500
```

size of the total moment	4.21	μB/cell
raw total energy	-2.430	eV/atom